Density functional theory data (GGA-PBE) for crystalline NaMgZn at its relaxed geometry.

Cell lengths 3.190, 3.246, 15.294 Å; angles 90.00, 90.00, 119.43 degrees
Fractional coordinates of all 6 atoms:
Na1 0.604 0.208 0.666
Zn1 0.616 0.232 0.000
Mg1 0.283 0.567 0.142
Mg2 0.283 0.567 0.858
Na2 0.604 0.208 0.334
Zn2 0.277 0.553 0.500

Results
As for the space group: Amm2. For the energy of formation, the calculation gives 0.0977 eV per atom. The value obtained for the theoretical density is 2.7 g/cm3. The value obtained for the density of states at the Fermi level is 2.90 states/eV/cell.